(1)
# HfHgMo2Pt

A relaxed structure of HfHgMo2Pt (PBE-GGA, Alexandria via LeMat-Bulk).

Cell: 4.744 5.185 4.744 Å, 90.00 90.00 90.00°
Last column: magnetic moment on the atom in μB.
Element x y z (fractional)
Mo (0.000, 0.000, 0.500)  0.29
Mo (0.500, 0.000, 0.000)  0.42
Pt (0.500, 0.500, 0.500)  0.04
Hg (0.000, 0.500, 0.000)  0.00
Hf (0.000, 0.000, 0.000)  -0.04

Results
**SG**: No. 123
**Size of the total moment**: 0.8 μB/f.u.
**Formation energy from the elements**: 1.89 eV/atom

***

(2)
# HfScHgMo2

A relaxed structure of HfScHgMo2 (PBE-GGA, Alexandria via LeMat-Bulk).

Cell: 5.082 5.054 5.082 Å, 90.00 90.00 90.00°
Last column: magnetic moment on the atom in μB.
Element x y z (fractional)
Mo (0.000, 0.000, 0.500)  1.84
Mo (0.500, 0.000, 0.000)  1.33
Sc (0.500, 0.500, 0.500)  -0.16
Hg (0.000, 0.000, 0.000)  0.03
Hf (0.000, 0.500, 0.000)  -0.35

Results
**SG**: No. 123
**Size of the total moment**: 3.0 μB/f.u.
**Formation energy from the elements**: 1.79 eV/atom

***

(3)
# HfSiHg2Mo

A relaxed structure of HfSiHg2Mo (PBE-GGA, Alexandria via LeMat-Bulk).

Cell: 5.450 4.806 5.450 Å, 90.00 90.00 90.00°
Last column: magnetic moment on the atom in μB.
Element x y z (fractional)
Si (0.500, 0.500, 0.500)  -0.04
Hg (0.000, 0.000, 0.500)  -0.01
Hg (0.500, 0.000, 0.000)  -0.03
Mo (0.000, 0.500, 0.000)  1.33
Hf (0.000, 0.000, 0.000)  -0.16

Results
**DFT total energy**: -3.8528 eV per atom
**SG**: No. 123
**Size of the total moment**: 1.2 μB/f.u.

***

(4)
# SrHf2HgMo

A relaxed structure of SrHf2HgMo (PBE-GGA, Alexandria via LeMat-Bulk).

Cell: 5.308 5.324 5.308 Å, 90.00 90.00 90.00°
Last column: magnetic moment on the atom in μB.
Element x y z (fractional)
Hg (0.000, 0.000, 0.000)  0.00
Hf (0.500, 0.000, 0.000)  -0.35
Hf (0.000, 0.000, 0.500)  -0.27
Mo (0.000, 0.500, 0.000)  2.46
Sr (0.500, 0.500, 0.500)  -0.02

Results
**SG**: No. 123
**Size of the total moment**: 2.0 μB/f.u.
**Formation energy from the elements**: 1.32 eV/atom

***

(5)
# HfTaHgMo2

A relaxed structure of HfTaHgMo2 (PBE-GGA, Alexandria via LeMat-Bulk).

Cell: 4.740 5.148 4.740 Å, 90.00 90.00 90.00°
Element x y z (fractional)
Hf (0.000, 0.500, 0.000)
Mo (0.000, 0.000, 0.500)
Mo (0.500, 0.000, 0.000)
Ta (0.000, 0.000, 0.000)
Hg (0.500, 0.500, 0.500)

Results
**SG**: No. 123
**Size of the total moment**: 0.0 μB/f.u.
**Formation energy from the elements**: 1.46 eV/atom

***

(6)
# HfTiHg2Mo

A relaxed structure of HfTiHg2Mo (PBE-GGA, Alexandria via LeMat-Bulk).

Cell: 5.299 4.735 5.299 Å, 90.00 90.00 90.00°
Element x y z (fractional)
Mo (0.000, 0.500, 0.000)
Hg (0.500, 0.000, 0.000)
Hg (0.000, 0.000, 0.500)
Ti (0.500, 0.500, 0.500)
Hf (0.000, 0.000, 0.000)

Results
**SG**: No. 123
**Size of the total moment**: 0.0 μB/f.u.
**Formation energy from the elements**: 1.46 eV/atom